Here is a geometry-optimized TmBe2Pd7 structure from Alexandria via LeMat-Bulk. Energies are from PBE-GGA.

Size of the total moment (Bohr magnetons per cell): 0.00
Formation energy (eV per atom): -0.31

Unit cell a=4.2306 b=6.5447 c=6.5447 alpha=112.84 beta=90.00 gamma=90.00
Fractional positions:
Tm (0.0000, 0.0000, 0.0000)
Be (0.5000, 0.7112, 0.2888)
Be (0.5000, 0.2888, 0.7112)
Pd (0.0000, 0.6729, 0.3271)
Pd (0.0000, 0.3271, 0.6729)
Pd (0.5000, 0.0611, 0.3214)
Pd (0.5000, 0.9389, 0.6786)
Pd (0.5000, 0.3214, 0.0610)
Pd (0.5000, 0.6786, 0.9390)
Pd (0.5000, 0.5000, 0.5000)

---

Here is a geometry-optimized YTmHgPd structure from Alexandria via LeMat-Bulk. Energies are from PBE-GGA.

Size of the total moment (Bohr magnetons per cell): 0.00
Formation energy (eV per atom): -0.66

Unit cell a=5.0871 b=5.0871 c=5.0871 alpha=60.00 beta=60.00 gamma=60.00
Fractional positions:
Y (0.0000, 0.0000, 0.0000)
Tm (0.5000, 0.5000, 0.5000)
Hg (0.2500, 0.2500, 0.2500)
Pd (0.7500, 0.7500, 0.7500)

---

Here is a geometry-optimized Hf2ScOs structure from Alexandria via LeMat-Bulk. Energies are from PBE-GGA.

Size of the total moment (Bohr magnetons per cell): 0.00
Formation energy (eV per atom): -0.19

Unit cell a=3.3321 b=4.7768 c=4.7768 alpha=90.00 beta=90.00 gamma=90.00
Fractional positions:
Sc (0.5000, 0.5000, 0.5000)
Hf (0.0000, 0.0000, 0.5000)
Hf (0.0000, 0.5000, 0.0000)
Os (0.5000, 0.0000, 0.0000)

---

Here is a geometry-optimized Zr2Al2Ag structure from Alexandria via LeMat-Bulk. Energies are from PBE-GGA.

Size of the total moment (Bohr magnetons per cell): 0.00
Formation energy (eV per atom): 0.32

Unit cell a=7.0369 b=7.0369 c=7.0369 alpha=145.62 beta=145.62 gamma=49.41
Fractional positions:
Zr (0.2500, 0.7500, 0.5000)
Zr (0.7500, 0.2500, 0.5000)
Al (0.5952, 0.5952, 0.0000)
Al (0.4048, 0.4048, 0.0000)
Ag (0.0000, 0.0000, 0.0000)